Entry from Alexandria via LeMat-Bulk: Pm3Ni2Ge7 after structural relaxation (PBE).

```
Pm3Ni2Ge7
1.0
4.2697 0.0000 0.0000
0.0000 4.2505 -0.0031
0.0000 -2.1235 12.8223
Pm Ni Ge
3 2 7
direct
0.5000 0.5000 0.0000 Pm
0.0000 0.8155 0.6310 Pm
0.0000 0.1845 0.3690 Pm
0.5000 0.6309 0.2588 Ni
0.5000 0.3691 0.7412 Ni
0.0000 0.4136 0.8222 Ge
0.0000 0.0000 0.0000 Ge
0.5000 0.7218 0.4425 Ge
0.5000 0.2782 0.5575 Ge
0.0000 0.5864 0.1778 Ge
0.5000 0.9098 0.8217 Ge
0.5000 0.0902 0.1783 Ge
```

Output
**Space group**: P2/m (10)
**Total energy**: -5.49 eV/atom
**Energy relative to the elements**: -0.6490 eV per atom
**Total magnetization**: 0.0 μB per formula unit
**Crystal system**: monoclinic